# Tl8InPb6, optimized geometry, DFT GGA-PBE
data_Tl8InPb6
_chemical_formula_sum 'Tl8 In1 Pb6'
_space_group_name_H-M_alt 'P -3'
_space_group_IT_number 147
_cell_length_a 12.6224
_cell_length_b 12.6224
_cell_length_c 3.5633
_cell_angle_alpha 90.00
_cell_angle_beta 90.00
_cell_angle_gamma 120.00
loop_
_space_group_symop_operation_xyz
'x,y,z'
'-x,-y,-z'
'-y,x-y,z'
'y,-x+y,-z'
'-x+y,-x,z'
'x-y,x,-z'
loop_
_atom_site_label
_atom_site_fract_x
_atom_site_fract_y
_atom_site_fract_z
Tl1 0.0767 0.7940 0.2621
Tl2 0.3333 0.6667 0.7455
In1 0.0000 0.0000 0.0000
Pb1 0.0901 0.4698 0.2499
# - spin magnetization (μB/cell) = 0.000
# - calculated total energy (eV for the cell shown) = -42.98